[1]
{
  "formula": "TcPHOsSN",
  "functional": "GGA-PBE",
  "state": "relaxed",
  "polymorph_energy_mev_per_atom": 87,
  "lattice_angstrom": [[-0.414, -1.728, 2.425], [-1.883, -4.312, -1.531], [4.331, -3.288, 0.266]],
  "species": ["Tc", "N", "Os", "P", "S", "H"],
  "frac_coords": [[0.894, 0.485, 0.257], [0.006, 0.645, 0.876], [0.879, 0.059, 0.717], [0.226, 0.447, 0.635], [0.630, 0.122, 0.146], [0.510, 0.934, 0.582]]
}

[2]
{
  "formula": "TcPHOsSN",
  "functional": "GGA-PBE",
  "state": "relaxed",
  "polymorph_energy_mev_per_atom": 28,
  "lattice_angstrom": [[2.972, -0.001, 0.000], [-1.485, 4.126, 0.001], [-0.126, -2.283, 5.974]],
  "species": ["Tc", "H", "P", "Os", "S", "N"],
  "frac_coords": [[0.320, 0.173, 0.752], [0.689, 0.644, 0.133], [0.623, 0.808, 0.471], [0.894, 0.353, 0.427], [0.756, 0.065, 0.022], [0.575, 0.651, 0.982]]
}

[3]
{
  "formula": "TcPHOsSN",
  "functional": "GGA-PBE",
  "state": "relaxed",
  "polymorph_energy_mev_per_atom": 46,
  "lattice_angstrom": [[6.135, 0.000, 0.004], [0.000, 2.975, 0.000], [-3.355, 0.000, 7.557]],
  "species": ["H", "N", "P", "N", "P", "S", "Os", "H", "Tc", "Tc", "S", "Os"],
  "frac_coords": [[0.559, 0.000, 0.839], [0.964, 0.000, 0.925], [0.275, 0.500, 0.486], [0.964, 0.500, 0.425], [0.275, 0.000, 0.986], [0.941, 0.500, 0.623], [0.353, 0.000, 0.295], [0.559, 0.500, 0.339], [0.696, 0.000, 0.679], [0.696, 0.500, 0.179], [0.941, 0.000, 0.123], [0.353, 0.500, 0.795]]
}

[4]
{
  "formula": "TcPHOsSN",
  "functional": "GGA-PBE",
  "state": "relaxed",
  "polymorph_energy_mev_per_atom": 278,
  "lattice_angstrom": [[3.689, -0.001, -0.008], [1.678, 4.599, -0.007], [0.894, 1.646, 4.891]],
  "species": ["Os", "N", "S", "Tc", "H", "P"],
  "frac_coords": [[0.941, 0.289, 0.532], [0.475, 0.696, 0.922], [0.147, 0.070, 0.967], [0.478, 0.218, 0.235], [0.728, 0.678, 0.997], [0.586, 0.744, 0.559]]
}

[5]
{
  "formula": "TcPHOsSN",
  "functional": "GGA-PBE",
  "state": "relaxed",
  "polymorph_energy_mev_per_atom": 129,
  "lattice_angstrom": [[2.983, 0.001, 0.004], [1.487, 4.111, -0.008], [0.988, 0.896, 7.574]],
  "species": ["N", "S", "Os", "P", "H", "Tc"],
  "frac_coords": [[0.048, 0.414, 0.864], [0.205, 0.046, 0.941], [0.643, 0.472, 0.488], [0.360, 0.043, 0.483], [0.696, 0.511, 0.276], [0.887, 0.821, 0.735]]
}

[6]
{
  "formula": "TcPHOsSN",
  "functional": "GGA-PBE",
  "state": "relaxed",
  "polymorph_energy_mev_per_atom": 282,
  "lattice_angstrom": [[4.284, -0.002, 0.001], [-2.076, 3.903, -0.003], [-1.109, -1.834, 5.162]],
  "species": ["N", "Tc", "H", "Os", "P", "S"],
  "frac_coords": [[0.651, 0.819, 0.085], [0.490, 0.923, 0.392], [0.509, 0.338, 0.308], [0.847, 0.573, 0.615], [0.471, 0.760, 0.761], [0.939, 0.656, 0.053]]
}

[7]
{
  "formula": "TcPHOsSN",
  "functional": "GGA-PBE",
  "state": "relaxed",
  "polymorph_energy_mev_per_atom": 99,
  "lattice_angstrom": [[-4.741, 0.661, 0.068], [-0.179, -1.550, 2.548], [1.654, 5.785, 3.636]],
  "species": ["Os", "P", "S", "H", "N", "Tc"],
  "frac_coords": [[0.505, 0.500, 0.190], [0.459, 0.000, 0.433], [0.082, 0.500, 0.982], [0.644, 0.000, 0.607], [0.131, 0.000, 0.477], [0.967, 0.000, 0.218]]
}

[8]
{
  "formula": "Re2HOsN",
  "functional": "GGA-PBE",
  "state": "relaxed",
  "e_tot_ev_per_atom": -7.329,
  "lattice_angstrom": [[-2.450, 0.667, -4.037], [0.641, -2.873, -0.864], [-3.969, -1.533, 2.155]],
  "species": ["H", "Re", "Os", "N", "Re"],
  "frac_coords": [[0.000, 0.500, 0.000], [0.500, 0.000, 0.000], [0.000, 0.000, 0.000], [0.500, 0.500, 0.500], [0.000, 0.000, 0.500]]
}